! GGA-PBE SmAgO3, relaxed; values from VASP
! Magnetization: 0.0 μB/f.u.
! Final energy: -5.87 eV/atom
&SYSTEM
  ibrav = 0, nat = 5, ntyp = 3
/
ATOMIC_SPECIES
O 16.00 O.upf
Ag 107.87 Ag.upf
Sm 150.36 Sm.upf
CELL_PARAMETERS angstrom
4.003 0.000 0.000
0.000 4.003 0.000
0.000 0.000 4.318
ATOMIC_POSITIONS crystal
O 0.000 0.500 0.647
O 0.500 0.000 0.647
O 0.500 0.500 0.079
Ag 0.500 0.500 0.570
Sm 0.000 0.000 0.957